This record from Alexandria via LeMat-Bulk describes an optimized crystal structure of B5C7. The functional is PBE.

The space group is P1 (No. 1) and the conventional cell measures 4.474, 4.652 and 4.674 Å, with angles of 119.67, 102.63 and 96.87 degrees. The inequivalent atoms are B at (0.000, 0.000, 0.000), B at (0.009, 0.672, 0.249), B at (0.157, 0.084, 0.613), B at (0.538, 0.893, 0.108), B at (0.576, 0.514, 0.129), C at (0.009, 0.369, 0.616), C at (0.130, 0.388, 0.330), C at (0.161, 0.694, 0.973), C at (0.497, 0.514, 0.445), C at (0.530, 0.168, 0.749), C at (0.641, 0.884, 0.784) and C at (0.646, 0.244, 0.489).

As for the magnetic moment: 0.0 Bohr magnetons per cell. As for the calculated formation energy: 0.3946 eV/atom.


This record from Alexandria via LeMat-Bulk describes an optimized crystal structure of Ce2NdHg. The functional is PBE.

The space group is P4/mmm (No. 123) and the conventional cell measures 4.693, 4.693 and 5.141 Å, with angles of 90.00, 90.00 and 90.00 degrees. The inequivalent atoms are Ce at (0.000, 0.500, 0.000), Nd at (0.000, 0.000, 0.500) and Hg at (0.500, 0.500, 0.500).

As for the magnetic moment: 2.1 Bohr magnetons per cell. As for the calculated formation energy: -0.0921 eV/atom.


This record from Alexandria via LeMat-Bulk describes an optimized crystal structure of Sc2NiIr. The functional is PBE.

The space group is Cmmm (No. 65) and the conventional cell measures 6.468, 6.479 and 3.149 Å, with angles of 90.00, 90.00 and 90.00 degrees. The inequivalent atoms are Sc at (0.250, 0.250, 0.000), Ni at (0.000, 0.000, 0.500) and Ir at (0.000, 0.500, 0.500).

As for the magnetic moment: 0.0 Bohr magnetons per cell. As for the calculated formation energy: -0.7833 eV/atom.


This record from Alexandria via LeMat-Bulk describes an optimized crystal structure of TbZnSn. The functional is PBE.

The space group is P6_3/mmc (No. 194) and the conventional cell measures 4.5153, 4.5153 and 15.9318 Å, with angles of 90.00, 90.00 and 120.00 degrees. The inequivalent atoms are Tb at (0.0000, 0.0000, 0.0000), Tb at (0.0000, 0.0000, 0.2500), Zn at (0.3333, 0.6667, 0.1604) and Sn at (0.3333, 0.6667, 0.6136).

As for the magnetic moment: 0.0 Bohr magnetons per cell. As for the calculated formation energy: -0.5972 eV/atom.


> Which of these has the highest magnetic moment?

Ce2NdHg


> calculated formation energy of number 3 (Sc2NiIr)?

-0.7833 eV/atom


> Which of these has the lowest calculated formation energy?

Sc2NiIr